! PBE-GGA MgAu, optimized geometry; values from VASP
&SYSTEM
  ibrav = 0, nat = 4, ntyp = 2
/
ATOMIC_SPECIES
Mg 24.30 Mg.upf
Au 196.97 Au.upf
CELL_PARAMETERS angstrom
3.6007 0.0000 0.0000
0.0000 3.6007 0.0000
0.0000 0.0000 5.8248
ATOMIC_POSITIONS angstrom
Mg 0.9002 0.9002 0.9249
Mg 2.7005 2.7005 4.8999
Au 0.9002 0.9002 3.8379
Au 2.7005 2.7005 1.9870
! magnetic moment: 0.00 μB per cell
! energy of formation from the pure elements: -467.9 meV/atom